[1]
A relaxed structure of Ir4Pt5. Source: Alexandria via LeMat-Bulk, functional GGA-PBEsol.

Unit cell a=3.869 b=6.138 c=6.138 alpha=84.30 beta=71.63 gamma=71.63
Fractional positions:
Ir 0.659 0.341 0.341
Ir 0.341 0.659 0.659
Ir 0.000 0.341 0.659
Ir 0.000 0.659 0.341
Pt 0.000 0.000 0.000
Pt 0.668 0.664 0.000
Pt 0.332 0.000 0.336
Pt 0.668 0.000 0.664
Pt 0.332 0.336 0.000

Values from the calculation:
SG	I4/mmm
final energy	-8.1631	eV per atom
volume	14.59	Å³ per atom
density of states at the Fermi level	14.07	states/eV per cell

=====

[2]
A relaxed structure of Ta2TlPt. Source: Alexandria via LeMat-Bulk, functional GGA-PBEsol.

Unit cell a=3.794 b=4.235 c=5.220 alpha=113.93 beta=111.31 gamma=90.00
Fractional positions:
Pt 0.500 0.000 0.000
Ta 0.757 0.757 0.514
Ta 0.243 0.243 0.486
Tl 0.000 0.500 0.000

Values from the calculation:
SG	Immm
final energy	-8.6553	eV per atom
volume	17.58	Å³ per atom
density of states at the Fermi level	3.27	states/eV per cell

=====

[3]
A relaxed structure of MgAs2Ir. Source: Alexandria via LeMat-Bulk, functional GGA-PBEsol.

Unit cell a=4.528 b=4.528 c=4.528 alpha=60.00 beta=60.00 gamma=60.00
Fractional positions:
As 0.000 0.000 0.000
As 0.750 0.750 0.750
Ir 0.500 0.500 0.500
Mg 0.250 0.250 0.250

Values from the calculation:
SG	F-43m
final energy	-5.2546	eV per atom
volume	16.41	Å³ per atom
density of states at the Fermi level	4.06	states/eV per cell

=====

[4]
A relaxed structure of MgInNi2. Source: Alexandria via LeMat-Bulk, functional GGA-PBEsol.

Unit cell a=3.314 b=4.044 c=4.996 alpha=113.88 beta=109.37 gamma=90.00
Fractional positions:
Ni 0.985 0.985 0.970
Ni 0.262 0.762 0.524
Mg 0.741 0.241 0.483
In 0.512 0.512 0.023

Values from the calculation:
SG	Imm2
final energy	-4.3692	eV per atom
volume	14.27	Å³ per atom
density of states at the Fermi level	2.41	states/eV per cell

=====

[5]
A relaxed structure of Ag2OsBr. Source: Alexandria via LeMat-Bulk, functional GGA-PBEsol.

Unit cell a=2.836 b=4.347 c=6.554 alpha=109.37 beta=102.50 gamma=90.00
Fractional positions:
Os 0.500 0.000 0.000
Br 0.000 0.500 0.000
Ag 0.799 0.799 0.598
Ag 0.201 0.201 0.402

Values from the calculation:
formation energy without anion corrections	3.6	eV per formula unit
SG	Immm
volume	18.55	Å³ per atom
density of states at the Fermi level	3.23	states/eV per cell

=====

[6]
A relaxed structure of Zr3ScI. Source: Alexandria via LeMat-Bulk, functional GGA-PBEsol.

Unit cell a=5.186 b=5.186 c=5.186 alpha=90.00 beta=90.00 gamma=90.00
Fractional positions:
I 0.000 0.000 0.000
Sc 0.500 0.500 0.500
Zr 0.000 0.500 0.000
Zr 0.000 0.000 0.500
Zr 0.500 0.000 0.000

Values from the calculation:
formation energy without anion corrections	3.4	eV per formula unit
SG	Pm-3m
volume	27.90	Å³ per atom
density of states at the Fermi level	5.96	states/eV per cell

=====

[7]
A relaxed structure of Pm3Sm. Source: Alexandria via LeMat-Bulk, functional GGA-PBEsol.

Unit cell a=5.038 b=5.038 c=6.167 alpha=114.11 beta=114.11 gamma=90.00
Fractional positions:
Sm 0.000 0.000 0.000
Pm 0.250 0.750 0.500
Pm 0.750 0.250 0.500
Pm 0.500 0.500 0.000

Values from the calculation:
SG	I4/mmm
final energy	-5.1190	eV per atom
volume	31.95	Å³ per atom
density of states at the Fermi level	5.94	states/eV per cell

=====

[8]
A relaxed structure of Mn12Al17. Source: Alexandria via LeMat-Bulk, functional GGA-PBEsol.

Unit cell a=7.853 b=7.853 c=7.853 alpha=109.47 beta=109.47 gamma=109.47
Fractional positions:
Mn 0.165 0.352 0.352
Mn 0.835 0.187 0.187
Mn 0.000 0.813 0.648
Mn 0.000 0.648 0.813
Mn 0.352 0.165 0.352
Mn 0.187 0.835 0.187
Mn 0.648 0.000 0.813
Mn 0.813 0.000 0.648
Mn 0.352 0.352 0.165
Mn 0.187 0.187 0.835
Mn 0.813 0.648 0.000
Mn 0.648 0.813 0.000
Al 0.714 0.394 0.394
Al 0.286 0.680 0.680
Al 0.000 0.320 0.606
Al 0.000 0.606 0.320
Al 0.394 0.714 0.394
Al 0.680 0.286 0.680
Al 0.606 0.000 0.320
Al 0.320 0.000 0.606
Al 0.394 0.394 0.714
Al 0.680 0.680 0.286
Al 0.320 0.606 0.000
Al 0.606 0.320 0.000
Al 0.648 0.648 0.648
Al 0.352 0.000 0.000
Al 0.000 0.000 0.352
Al 0.000 0.352 0.000
Al 0.000 0.000 0.000

Values from the calculation:
SG	I-43m
final energy	-6.5964	eV per atom
volume	12.85	Å³ per atom
density of states at the Fermi level	18.35	states/eV per cell

=====

[9]
A relaxed structure of Sc2SiN. Source: Alexandria via LeMat-Bulk, functional GGA-PBEsol.

Unit cell a=4.408 b=4.408 c=4.408 alpha=60.00 beta=60.00 gamma=60.00
Fractional positions:
Sc 0.250 0.250 0.250
Sc 0.750 0.750 0.750
Si 0.500 0.500 0.500
N 0.000 0.000 0.000

Values from the calculation:
formation energy without anion corrections	-0.6	eV per formula unit
SG	Fm-3m
volume	15.14	Å³ per atom
density of states at the Fermi level	3.51	states/eV per cell

=====

[10]
A relaxed structure of IrBrCl2. Source: Alexandria via LeMat-Bulk, functional GGA-PBEsol.

Unit cell a=3.164 b=4.977 c=6.310 alpha=113.25 beta=104.52 gamma=90.00
Fractional positions:
Ir 0.000 0.500 0.000
Br 0.500 0.000 0.000
Cl 0.657 0.657 0.314
Cl 0.343 0.343 0.686

Values from the calculation:
formation energy without anion corrections	0.5	eV per formula unit
SG	Immm
volume	21.96	Å³ per atom
density of states at the Fermi level	2.05	states/eV per cell

=====

[11]
A relaxed structure of Na3NbRe. Source: Alexandria via LeMat-Bulk, functional GGA-PBEsol.

Unit cell a=5.713 b=5.713 c=5.713 alpha=90.00 beta=90.00 gamma=90.00
Fractional positions:
Re 0.500 0.500 0.500
Nb 0.000 0.000 0.000
Na 0.000 0.500 0.000
Na 0.000 0.000 0.500
Na 0.500 0.000 0.000

Values from the calculation:
SG	Pm-3m
final energy	-2.9664	eV per atom
volume	37.29	Å³ per atom
density of states at the Fermi level	4.64	states/eV per cell

=====

[12]
A relaxed structure of Li2BeInGe. Source: Alexandria via LeMat-Bulk, functional GGA-PBEsol.

Unit cell a=4.071 b=4.732 c=4.732 alpha=90.00 beta=90.00 gamma=90.00
Fractional positions:
Be 0.000 0.000 0.000
Ge 0.500 0.000 0.000
Li 0.000 0.000 0.500
Li 0.000 0.500 0.000
In 0.500 0.500 0.500

Values from the calculation:
SG	P4/mmm
final energy	-3.0638	eV per atom
volume	18.23	Å³ per atom
density of states at the Fermi level	1.70	states/eV per cell

=====

[13]
A relaxed structure of Na2Li2NiP6H24O30. Source: Alexandria via LeMat-Bulk, functional GGA-PBEsol.

Unit cell a=10.103 b=10.103 c=14.705 alpha=71.31 beta=71.31 gamma=60.07
Fractional positions:
Na 0.128 0.639 0.111
Na 0.361 0.872 0.389
Na 0.872 0.361 0.889
Na 0.639 0.128 0.611
Li 0.745 0.766 0.246
Li 0.234 0.255 0.254
Li 0.255 0.234 0.754
Li 0.766 0.745 0.746
Ni 0.746 0.254 0.250
Ni 0.254 0.746 0.750
P 0.093 0.216 0.465
P 0.784 0.907 0.035
P 0.907 0.784 0.535
P 0.216 0.093 0.965
P 0.702 0.735 0.459
P 0.265 0.298 0.041
P 0.298 0.265 0.541
P 0.735 0.702 0.959
P 0.767 0.411 0.539
P 0.589 0.233 0.961
P 0.233 0.589 0.461
P 0.411 0.767 0.039
H 0.603 0.603 0.299
H 0.397 0.397 0.201
H 0.397 0.397 0.701
H 0.603 0.603 0.799
H 0.519 0.735 0.220
H 0.265 0.481 0.280
H 0.481 0.265 0.780
H 0.735 0.519 0.720
H 0.890 0.503 0.203
H 0.497 0.110 0.297
H 0.110 0.497 0.797
H 0.503 0.890 0.703
H 0.958 0.494 0.287
H 0.506 0.042 0.213
H 0.042 0.506 0.713
H 0.494 0.958 0.787
H 0.999 0.898 0.207
H 0.102 0.001 0.293
H 0.001 0.102 0.793
H 0.898 0.999 0.707
H 0.977 0.767 0.290
H 0.233 0.023 0.210
H 0.023 0.233 0.710
H 0.767 0.977 0.790
H 0.547 0.496 0.149
H 0.504 0.453 0.351
H 0.453 0.504 0.851
H 0.496 0.547 0.649
H 0.621 0.346 0.097
H 0.654 0.379 0.403
H 0.379 0.654 0.903
H 0.346 0.621 0.597
H 0.690 0.011 0.349
H 0.989 0.310 0.151
H 0.310 0.989 0.651
H 0.011 0.690 0.849
H 0.566 0.158 0.402
H 0.842 0.434 0.098
H 0.434 0.842 0.598
H 0.158 0.566 0.902
H 0.805 0.052 0.148
H 0.948 0.195 0.352
H 0.195 0.948 0.852
H 0.052 0.805 0.648
H 0.934 0.120 0.099
H 0.880 0.066 0.401
H 0.066 0.880 0.901
H 0.120 0.934 0.599
O 0.761 0.815 0.361
O 0.185 0.239 0.139
O 0.239 0.185 0.639
O 0.815 0.761 0.861
O 0.776 0.556 0.451
O 0.444 0.224 0.049
O 0.224 0.444 0.549
O 0.556 0.776 0.951
O 0.570 0.717 0.273
O 0.283 0.430 0.227
O 0.430 0.283 0.727
O 0.717 0.570 0.773
O 0.921 0.565 0.227
O 0.435 0.079 0.273
O 0.079 0.435 0.773
O 0.565 0.921 0.727
O 0.045 0.783 0.227
O 0.217 0.955 0.273
O 0.955 0.217 0.773
O 0.783 0.045 0.727
O 0.684 0.470 0.632
O 0.530 0.316 0.868
O 0.316 0.530 0.368
O 0.470 0.684 0.132
O 0.051 0.280 0.365
O 0.720 0.949 0.135
O 0.949 0.720 0.635
O 0.280 0.051 0.865
O 0.530 0.799 0.497
O 0.201 0.470 0.003
O 0.470 0.201 0.503
O 0.799 0.530 0.997
O 0.712 0.327 0.503
O 0.673 0.288 0.997
O 0.288 0.673 0.497
O 0.327 0.712 0.003
O 0.217 0.277 0.459
O 0.723 0.783 0.041
O 0.783 0.723 0.541
O 0.277 0.217 0.959
O 0.157 0.045 0.502
O 0.955 0.843 0.998
O 0.843 0.955 0.498
O 0.045 0.157 0.002
O 0.949 0.307 0.545
O 0.693 0.051 0.955
O 0.051 0.693 0.455
O 0.307 0.949 0.045
O 0.582 0.380 0.163
O 0.620 0.418 0.337
O 0.418 0.620 0.837
O 0.380 0.582 0.663
O 0.625 0.127 0.336
O 0.873 0.375 0.164
O 0.375 0.873 0.664
O 0.127 0.625 0.836
O 0.868 0.091 0.164
O 0.909 0.132 0.336
O 0.132 0.909 0.836
O 0.091 0.868 0.664

Values from the calculation:
SG	C2/c
final energy	-5.9116	eV per atom
volume	9.30	Å³ per atom
density of states at the Fermi level	0.00	states/eV per cell

=====

[14]
A relaxed structure of AgSbTe16Pb14. Source: Alexandria via LeMat-Bulk, functional GGA-PBEsol.

Unit cell a=9.046 b=9.046 c=14.229 alpha=108.53 beta=108.53 gamma=90.00
Fractional positions:
Ag 0.500 0.500 0.000
Sb 0.000 0.000 0.000
Te 0.875 0.375 0.750
Te 0.625 0.125 0.250
Te 0.375 0.875 0.750
Te 0.125 0.625 0.250
Te 0.500 0.500 0.500
Te 0.245 0.245 0.000
Te 0.000 0.000 0.500
Te 0.755 0.755 0.000
Te 0.387 0.387 0.775
Te 0.123 0.123 0.245
Te 0.877 0.877 0.755
Te 0.613 0.613 0.225
Te 0.500 0.000 0.500
Te 0.245 0.755 0.000
Te 0.000 0.500 0.500
Te 0.755 0.245 0.000
Pb 0.750 0.250 0.500
Pb 0.500 0.000 0.000
Pb 0.250 0.750 0.500
Pb 0.000 0.500 0.000
Pb 0.625 0.625 0.752
Pb 0.375 0.375 0.248
Pb 0.127 0.127 0.752
Pb 0.873 0.873 0.248
Pb 0.625 0.127 0.752
Pb 0.375 0.873 0.248
Pb 0.127 0.625 0.752
Pb 0.873 0.375 0.248
Pb 0.255 0.255 0.510
Pb 0.745 0.745 0.490

Values from the calculation:
formation energy without anion corrections	-10.1	eV per formula unit
SG	I4/mmm
volume	32.50	Å³ per atom

=====

[15]
A relaxed structure of Ni3Ir. Source: Alexandria via LeMat-Bulk, functional GGA-PBEsol.

Unit cell a=2.574 b=4.108 c=4.343 alpha=90.00 beta=90.00 gamma=90.00
Fractional positions:
Ni 0.000 0.500 0.339
Ni 0.500 0.000 0.499
Ni 0.500 0.500 0.831
Ir 0.000 0.000 0.998

Values from the calculation:
SG	Pmm2
final energy	-7.0270	eV per atom
volume	11.48	Å³ per atom
density of states at the Fermi level	7.30	states/eV per cell

=====

[16]
A relaxed structure of Sr2LiCu2. Source: Alexandria via LeMat-Bulk, functional GGA-PBEsol.

Unit cell a=4.195 b=7.870 c=7.870 alpha=90.00 beta=90.00 gamma=90.00
Fractional positions:
Sr 0.500 0.179 0.679
Sr 0.500 0.679 0.821
Sr 0.500 0.821 0.321
Sr 0.500 0.321 0.179
Cu 0.000 0.391 0.891
Cu 0.000 0.891 0.609
Cu 0.000 0.609 0.109
Cu 0.000 0.109 0.391
Li 0.000 0.000 0.000
Li 0.000 0.500 0.500

Values from the calculation:
SG	P4/mbm
final energy	-2.8440	eV per atom
volume	25.98	Å³ per atom
density of states at the Fermi level	5.12	states/eV per cell

=====

[17]
A relaxed structure of LaSb2TeI. Source: Alexandria via LeMat-Bulk, functional GGA-PBEsol.

Unit cell a=5.646 b=5.635 c=5.635 alpha=90.00 beta=90.00 gamma=90.00
Fractional positions:
I 0.500 0.000 0.000
Sb 0.000 0.000 0.500
Sb 0.000 0.500 0.000
Te 0.000 0.000 0.000
La 0.500 0.500 0.500

Values from the calculation:
formation energy without anion corrections	0.5	eV per formula unit
SG	P4/mmm
volume	35.85	Å³ per atom
density of states at the Fermi level	3.15	states/eV per cell

=====

[18]
A relaxed structure of HoAlAu. Source: Alexandria via LeMat-Bulk, functional GGA-PBEsol.

Unit cell a=4.407 b=7.080 c=7.664 alpha=90.00 beta=90.00 gamma=90.00
Fractional positions:
Au 0.750 0.214 0.096
Au 0.250 0.786 0.904
Au 0.750 0.714 0.404
Au 0.250 0.286 0.596
Ho 0.250 0.509 0.195
Ho 0.750 0.991 0.695
Ho 0.250 0.009 0.305
Ho 0.750 0.491 0.805
Al 0.750 0.828 0.078
Al 0.250 0.672 0.578
Al 0.750 0.328 0.422
Al 0.250 0.172 0.922

Values from the calculation:
SG	Pnma
final energy	-5.1510	eV per atom
volume	19.93	Å³ per atom
density of states at the Fermi level	6.42	states/eV per cell